[1]
VASP calculation (PBE) on a relaxed structure of YZr2Al.

a b c (Å): 4.398 4.243 10.703
angles (deg): 90.00 101.78 90.00
Space group P2_1/m (No. 11)
Symmetry-distinct sites (fractional):
Y (0.191, 0.250, 0.386) [2 per cell]
Zr (0.057, 0.750, 0.115) [2 per cell]
Zr (0.445, 0.750, 0.889) [2 per cell]
Al (0.345, 0.250, 0.687) [2 per cell]


[2]
VASP calculation (PBE) on a relaxed structure of YZr2Al.

a b c (Å): 7.165 7.165 7.165
angles (deg): 90.00 90.00 90.00
Space group F-43m (No. 216)
Symmetry-distinct sites (fractional):
Y (0.000, 0.000, 0.000) [4 per cell]
Zr (0.000, 0.000, 0.500) [4 per cell]
Zr (0.250, 0.250, 0.250) [4 per cell]
Al (0.250, 0.250, 0.750) [4 per cell]


Here are the calculated E numbers, same order: -7.02; -6.86 (eV/atom).